Here is a relaxed structure of Y2SiHPt6 from Alexandria via LeMat-Bulk. Energies are from PBE.

The structure in extended XYZ format:
```
10
Lattice="4.904 -2.831 0.000 4.904 2.831 0.000 -3.278 0.000 5.959" Properties=species:S:1:pos:R:3 pbc="T T T"
Y 1.631 0.000 0.881
Y 4.899 0.000 5.078
Si 4.904 0.000 0.000
H -1.639 0.000 2.980
Pt 0.010 0.000 4.161
Pt 2.441 1.403 4.164
Pt 4.089 1.403 1.795
Pt 2.441 -1.403 4.164
Pt 4.089 -1.403 1.795
Pt 6.520 0.000 1.798
```

E	-67.11	eV per formula unit
space group	C2/m
Fermi-level density of states	3.3	states/eV/f.u.

=====

Here is a relaxed structure of CaNdCdAg from Alexandria via LeMat-Bulk. Energies are from PBE.

The structure in extended XYZ format:
```
4
Lattice="3.774 0.000 0.000 0.000 3.774 0.000 0.000 0.000 7.655" Properties=species:S:1:pos:R:3 pbc="T T T"
Ca 0.000 0.000 0.000
Nd 0.000 0.000 3.688
Cd 1.887 1.887 5.664
Ag 1.887 1.887 1.856
```

space group	P4mm
Fermi-level density of states	3.4	states/eV/f.u.
formation energy	-0.311	eV per atom
excess energy over the best structure of this formula in the dataset	0.0050	eV per atom

=====

Here is a relaxed structure of SmDy7Ho5 from Alexandria via LeMat-Bulk. Energies are from PBE.

The structure in extended XYZ format:
```
13
Lattice="-3.333 5.537 5.760 3.333 -5.537 5.760 3.333 5.537 -5.760" Properties=species:S:1:pos:R:3 pbc="T T T"
Sm 0.000 0.000 0.000
Dy 3.333 1.891 0.608
Dy 3.333 0.000 3.499
Dy 0.000 0.000 3.513
Dy 0.000 3.648 0.614
Dy 0.000 0.000 7.035
Dy 0.000 7.426 0.614
Dy 0.000 3.646 6.368
Ho 1.555 2.533 -2.273
Ho 5.111 2.533 -2.273
Ho -1.778 3.004 3.487
Ho 1.778 3.004 3.487
Ho 0.000 5.537 3.477
```

space group	Imm2
Fermi-level density of states	24.0	states/eV/f.u.
formation energy	0.251	eV per atom

=====

Here is a relaxed structure of Rb4Pr3RuO8 from Alexandria via LeMat-Bulk. Energies are from PBE.

The structure in extended XYZ format:
```
16
Lattice="3.575 2.064 6.566 -3.575 2.064 6.566 0.000 -4.128 6.566" Properties=species:S:1:pos:R:3 pbc="T T T"
Rb 0.000 0.000 0.000
Rb -1.788 -1.032 6.566
Rb -1.788 1.032 13.133
Rb 0.000 2.064 6.566
Pr -3.575 0.000 9.850
Pr -1.788 1.032 3.283
Pr 1.788 1.032 3.283
Ru 0.000 0.000 9.850
O 0.000 0.000 4.502
O -1.668 -0.963 11.026
O 0.000 -1.927 8.673
O -1.668 0.963 8.673
O 1.668 -0.963 11.026
O 0.000 1.927 11.026
O 1.668 0.963 8.673
O 0.000 0.000 15.197
```

space group	R-3m
E_form (uncorrected)	-2.021	eV/atom
Fermi-level density of states	9.0	states/eV/f.u.